No. 1
! Eu2WN (GGA-PBE, relaxed); values from VASP
&SYSTEM
  ibrav = 0, nat = 4, ntyp = 3
/
ATOMIC_SPECIES
N 14.01 N.upf
W 183.84 W.upf
Eu 151.96 Eu.upf
ATOMIC_POSITIONS angstrom
N 3.2257 1.8624 4.5686
W 0.0000 0.0000 0.0000
Eu 4.8386 2.7936 3.0794
Eu 1.6129 0.9312 6.0578
CELL_PARAMETERS angstrom
3.2257 0.0000 0.0000
1.6129 2.7936 0.0000
1.6129 0.9312 9.1371
! * raw total energy: -10.0322 eV/atom


No. 2
! CeTh4N4 (GGA-PBE, relaxed); values from VASP
&SYSTEM
  ibrav = 0, nat = 9, ntyp = 3
/
ATOMIC_SPECIES
Th 232.04 Th.upf
Ce 140.12 Ce.upf
N 14.01 N.upf
ATOMIC_POSITIONS angstrom
Th 5.8785 4.5325 6.1088
Th 3.0565 2.2669 6.2239
Th 4.3297 3.3710 3.0482
Th 1.5077 1.1054 3.1632
Ce 0.0000 0.0000 0.0000
N 5.4584 2.2195 7.1566
N 3.4679 4.4998 5.1978
N 1.9278 3.4183 2.1154
N 3.9183 1.1381 4.0743
CELL_PARAMETERS angstrom
4.7829 0.0000 1.9175
2.3478 5.7429 1.0678
0.2554 -0.1050 6.2867
! * raw total energy: -8.9899 eV/atom


No. 3
! Si2PCl (GGA-PBE, relaxed); values from VASP
&SYSTEM
  ibrav = 0, nat = 4, ntyp = 3
/
ATOMIC_SPECIES
P 30.97 P.upf
Si 28.09 Si.upf
Cl 35.45 Cl.upf
ATOMIC_POSITIONS angstrom
P -7.6030 -1.3080 0.6237
Si -0.1239 -0.0016 0.0302
Si -2.1425 -1.2387 -0.7069
Cl -3.6003 -0.0457 0.8773
CELL_PARAMETERS angstrom
-0.7712 0.7739 -3.1242
0.2348 -3.2038 0.7968
-8.6222 -0.1094 2.1011
! * raw total energy: -4.2818 eV/atom
! * distance to the lowest polymorph of the same formula: 223 meV per atom


No. 4
! Tc2SbTe (GGA-PBE, relaxed); values from VASP
&SYSTEM
  ibrav = 0, nat = 4, ntyp = 3
/
ATOMIC_SPECIES
Tc 98.00 Tc.upf
Te 127.60 Te.upf
Sb 121.76 Sb.upf
ATOMIC_POSITIONS angstrom
Tc 1.6423 1.6423 1.6423
Tc 4.9268 4.9268 4.9268
Te 3.2845 3.2845 3.2845
Sb 0.0000 0.0000 0.0000
CELL_PARAMETERS angstrom
0.0000 3.2845 3.2845
3.2845 0.0000 3.2845
3.2845 3.2845 0.0000
! * raw total energy: -6.7558 eV/atom
! * distance to the lowest polymorph of the same formula: 133 meV per atom


Energy relative to the elements, uncorrected, record by record: 0.4247, -1.3327, 0.2438, 0.2432 eV per atom